Entry 1:
# Na2HfZnSe4 | the Alexandria database | PBE | relaxed
# - Space-group type: P2/m
# - ρ: 5.43 g/cm3
# - Formation energy from raw total energies: -1.07 eV/atom
data_Na2HfZnSe4
_chemical_formula_sum 'Na2 Hf1 Zn1 Se4'
_symmetry_space_group_name_H-M 'P 1'
_symmetry_Int_Tables_number 1
_cell_length_a 6.9213
_cell_length_b 3.8675
_cell_length_c 7.3336
_cell_angle_alpha 90.00
_cell_angle_beta 109.28
_cell_angle_gamma 90.00
loop_
_symmetry_equiv_pos_as_xyz
'x,y,z'
loop_
_atom_site_label
_atom_site_type_symbol
_atom_site_fract_x
_atom_site_fract_y
_atom_site_fract_z
_atom_site_occupancy
Na1 Na 0.0000 0.0000 0.0000 1
Na2 Na 0.5000 0.5000 0.0000 1
Hf1 Hf 0.0000 0.5000 0.5000 1
Zn1 Zn 0.5000 0.0000 0.5000 1
Se1 Se 0.2260 0.0000 0.7266 1
Se2 Se 0.2665 0.5000 0.2989 1
Se3 Se 0.7335 0.5000 0.7011 1
Se4 Se 0.7740 0.0000 0.2734 1

Entry 2:
# Na2Hf2ZnSe6 | the Alexandria database | PBE | relaxed
# - Space-group type: C2/m
# - ρ: 5.64 g/cm3
# - Formation energy from raw total energies: -1.15 eV/atom
data_Na2Hf2ZnSe6
_chemical_formula_sum 'Na2 Hf2 Zn1 Se6'
_symmetry_space_group_name_H-M 'P 1'
_symmetry_Int_Tables_number 1
_cell_length_a 6.7552
_cell_length_b 6.7552
_cell_length_c 7.4785
_cell_angle_alpha 98.35
_cell_angle_beta 98.35
_cell_angle_gamma 121.59
loop_
_symmetry_equiv_pos_as_xyz
'x,y,z'
loop_
_atom_site_label
_atom_site_type_symbol
_atom_site_fract_x
_atom_site_fract_y
_atom_site_fract_z
_atom_site_occupancy
Na1 Na 0.1611 0.8389 0.0000 1
Na2 Na 0.8389 0.1611 0.0000 1
Hf1 Hf 0.3297 0.6703 0.5000 1
Hf2 Hf 0.6703 0.3297 0.5000 1
Zn1 Zn 0.0000 0.0000 0.5000 1
Se1 Se 0.0743 0.4185 0.7186 1
Se2 Se 0.2558 0.2558 0.2977 1
Se3 Se 0.4185 0.0743 0.7186 1
Se4 Se 0.5815 0.9257 0.2814 1
Se5 Se 0.7442 0.7442 0.7023 1
Se6 Se 0.9257 0.5815 0.2814 1

Which formula does entry 1 have?
Na2HfZnSe4